(1)
Cs2LiAg: relaxed, PBE-GGA.

Computed properties:
**E above lowest polymorph**: 81.1 meV/atom
**ΔH_f (0 K)**: 183 meV/atom
**DOS(E_F)**: 3.56 states/eV/cell
**Density**: 3.081 g/cm3

abc: 9.3619 9.3619 9.3619
angles: 90.00 90.00 90.00
With the nearest neighbours (Å) after each atom.
Space group Fm-3m (No. 225)
One atom of each set of equivalent atoms:
Cs1 0.2500 0.2500 0.2500  4 Li 4.05, 4 Ag 4.05
Li1 0.0000 0.0000 0.0000  8 Cs 4.05
Ag1 0.0000 0.0000 0.5000  8 Cs 4.05


(2)
HoTm2Al3: relaxed, PBE-GGA.

Computed properties:
**E above lowest polymorph**: 0.0 meV/atom
**ΔH_f (0 K)**: -391 meV/atom
**DOS(E_F)**: 2.43 states/eV/cell
**Density**: 7.160 g/cm3

abc: 3.5556 3.5556 10.7084
angles: 90.00 90.00 90.00
With the nearest neighbours (Å) after each atom.
Space group P4/mmm (No. 123)
One atom of each set of equivalent atoms:
Ho1 0.0000 0.0000 0.0000  8 Al 3.10
Tm1 0.0000 0.0000 0.3347  8 Al 3.07
Al1 0.5000 0.5000 0.1699  4 Tm 3.07, 4 Ho 3.10
Al2 0.5000 0.5000 0.5000  8 Tm 3.07


> Among the records above, which one has the highest E above lowest polymorph?

Cs2LiAg


> Which value of E above lowest polymorph does entry 2 give?

0.0 meV/atom


> What is the formula in the second record?

HoTm2Al3